Record 1
Below is crystalline BaAuS2Cl at its relaxed geometry, with properties calculated at the GGA-PBE level.

V (Å³ per atom): 25.24
Distance to the lowest polymorph of the same formula (kJ/mol of formula units): 0
Magnetization (μB/atom): 0.000

Lattice parameters (Å, degrees): 4.9672 4.9672 5.1152 90.00 90.00 90.00
With the nearest neighbours (Å) after each atom.
Space group P4/mmm (No. 123)
Inequivalent atoms, fractional coordinates:
Ba (0.0000, 0.0000, 0.0000) [1 per cell]  4 Cl 3.51, 8 S 3.57
Au (0.5000, 0.5000, 0.5000) [1 per cell]  4 S 2.48, 2 Cl 2.56
S (0.0000, 0.5000, 0.5000) [2 per cell]  2 Au 2.48
Cl (0.5000, 0.5000, 0.0000) [1 per cell]  2 Au 2.56

Record 2
Below is crystalline BaAuS2Cl at its relaxed geometry, with properties calculated at the GGA-PBE level.

V (Å³ per atom): 45.95
Distance to the lowest polymorph of the same formula (kJ/mol of formula units): 514
Magnetization (μB/atom): 0.406

Lattice parameters (Å, degrees): 6.2630 6.2630 5.8570 90.00 90.00 90.00
With the nearest neighbours (Å) after each atom.
Space group P4/mmm (No. 123)
Inequivalent atoms, fractional coordinates:
Ba (0.0000, 0.0000, 0.0000) [1 per cell]  2 Cl 2.93, 4 S 3.13
Au (0.5000, 0.5000, 0.5000) [1 per cell]  8 S 4.29, 4 Cl 4.43
S (0.0000, 0.5000, 0.0000) [2 per cell]  2 Ba 3.13
Cl (0.0000, 0.0000, 0.5000) [1 per cell]  2 Ba 2.93

Record 3
Below is crystalline BaAuSe2Cl at its relaxed geometry, with properties calculated at the GGA-PBE level.

V (Å³ per atom): 31.27
Electronic total energy (eV per atom): -2.88
Magnetization (μB/atom): 0.115

Lattice parameters (Å, degrees): 5.1336 5.1336 5.9332 90.00 90.00 90.00
With the nearest neighbours (Å) after each atom.
Space group P4/mmm (No. 123)
Inequivalent atoms, fractional coordinates:
Ba (0.0000, 0.0000, 0.0000) [1 per cell]  2 Cl 2.97
Au (0.5000, 0.5000, 0.0000) [1 per cell]  4 Ba 3.63, 8 Se 3.92
Se (0.0000, 0.5000, 0.5000) [2 per cell]  2 Cl 2.57
Cl (0.0000, 0.0000, 0.5000) [1 per cell]  4 Se 2.57

Record 4
Below is crystalline Ba4AuSeCl2 at its relaxed geometry, with properties calculated at the GGA-PBE level.

V (Å³ per atom): 37.00
Electronic total energy (eV per atom): -3.84
Magnetization (μB/atom): 0.182

Lattice parameters (Å, degrees): 8.1076 4.6385 8.3163 90.00 108.82 90.00
With the nearest neighbours (Å) after each atom.
Space group P2/m (No. 10)
Inequivalent atoms, fractional coordinates:
Ba (0.2373, 0.0000, 0.2417) [2 per cell]  2 Au 3.26, 1 Se 3.31, 3 Cl 3.37-3.40
Ba (0.2393, 0.5000, 0.7480) [2 per cell]  1 Au 3.28, 2 Se 3.29, 3 Cl 3.37-3.40
Au (0.0000, 0.5000, 0.0000) [1 per cell]  6 Ba 3.26-3.28
Se (0.0000, 0.0000, 0.5000) [1 per cell]  6 Ba 3.29-3.31
Cl (0.5000, 0.0000, 0.0000) [1 per cell]  6 Ba 3.37
Cl (0.5000, 0.5000, 0.5000) [1 per cell]  6 Ba 3.40

Record 5
Below is crystalline BaCoAu at its relaxed geometry, with properties calculated at the GGA-PBE level.

V (Å³ per atom): 26.72
Formation energy (eV/f.u.): -0.122
Magnetization (μB/atom): 0.496

Lattice parameters (Å, degrees): 4.4351 4.4351 4.7051 90.00 90.00 120.00
With the nearest neighbours (Å) after each atom.
Space group P-6m2 (No. 187)
Inequivalent atoms, fractional coordinates:
Ba (0.0000, 0.0000, 0.0000) [1 per cell]  6 Au 3.48, 6 Co 3.48
Co (0.6667, 0.3333, 0.5000) [1 per cell]  3 Au 2.56
Au (0.3333, 0.6667, 0.5000) [1 per cell]  3 Co 2.56

Record 6
Below is crystalline BaCo2Au at its relaxed geometry, with properties calculated at the GGA-PBE level.

V (Å³ per atom): 19.71
Formation energy (eV/f.u.): 1.177
Magnetization (μB/atom): 0.845

Lattice parameters (Å, degrees): 3.2239 3.2239 7.5843 90.00 90.00 90.00
With the nearest neighbours (Å) after each atom.
Space group P4mm (No. 99)
Inequivalent atoms, fractional coordinates:
Ba (0.0000, 0.0000, 0.0000) [1 per cell]  4 Ba 3.22, 4 Au 3.37, 5 Co 3.38-3.41
Co (0.0000, 0.0000, 0.4499) [1 per cell]  4 Co 2.45
Co (0.5000, 0.5000, 0.3299) [1 per cell]  4 Co 2.45, 1 Au 2.60
Au (0.5000, 0.5000, 0.6729) [1 per cell]  5 Co 2.60-2.84

Record 7
Below is crystalline BaCo2Au at its relaxed geometry, with properties calculated at the GGA-PBE level.

V (Å³ per atom): 19.34
Formation energy (eV/f.u.): 2.907
Magnetization (μB/atom): 0.642

Lattice parameters (Å, degrees): 6.7644 6.7644 6.7644 90.00 90.00 90.00
With the nearest neighbours (Å) after each atom.
Space group Fm-3m (No. 225)
Inequivalent atoms, fractional coordinates:
Ba (0.0000, 0.0000, 0.0000) [4 per cell]  8 Co 2.93
Co (0.2500, 0.2500, 0.2500) [8 per cell]  4 Ba 2.93, 4 Au 2.93
Au (0.0000, 0.0000, 0.5000) [4 per cell]  8 Co 2.93

Record 8
Below is crystalline BaCoAu at its relaxed geometry, with properties calculated at the GGA-PBE level.

V (Å³ per atom): 36.03
Formation energy (eV/f.u.): 2.151
Magnetization (μB/atom): 0.664

Lattice parameters (Å, degrees): 7.5613 7.5613 7.5613 90.00 90.00 90.00
With the nearest neighbours (Å) after each atom.
Space group F-43m (No. 216)
Inequivalent atoms, fractional coordinates:
Ba (0.0000, 0.0000, 0.0000) [4 per cell]  4 Co 3.27, 4 Au 3.27
Co (0.2500, 0.2500, 0.7500) [4 per cell]  4 Ba 3.27
Au (0.2500, 0.2500, 0.2500) [4 per cell]  4 Ba 3.27

Record 9
Below is crystalline BaCoAu at its relaxed geometry, with properties calculated at the GGA-PBE level.

V (Å³ per atom): 27.27
Formation energy (eV/f.u.): 0.958
Magnetization (μB/atom): 0.543

Lattice parameters (Å, degrees): 6.8913 6.8913 6.8913 90.00 90.00 90.00
With the nearest neighbours (Å) after each atom.
Space group F-43m (No. 216)
Inequivalent atoms, fractional coordinates:
Ba (0.0000, 0.0000, 0.0000) [4 per cell]  4 Co 2.98
Co (0.2500, 0.2500, 0.7500) [4 per cell]  4 Ba 2.98, 4 Au 2.98
Au (0.0000, 0.0000, 0.5000) [4 per cell]  4 Co 2.98

Record 10
Below is crystalline BaCo2Au at its relaxed geometry, with properties calculated at the GGA-PBE level.

V (Å³ per atom): 19.76
Formation energy (eV/f.u.): 2.867
Magnetization (μB/atom): 0.712

Lattice parameters (Å, degrees): 4.4640 4.4640 7.9331 90.00 90.00 90.00
With the nearest neighbours (Å) after each atom.
Space group I4/mmm (No. 139)
Inequivalent atoms, fractional coordinates:
Ba (0.0000, 0.0000, 0.0000) [2 per cell]  8 Co 2.99, 4 Au 3.16
Co (0.0000, 0.5000, 0.2500) [4 per cell]  4 Ba 2.99, 4 Au 2.99, 4 Co 3.16
Au (0.0000, 0.0000, 0.5000) [2 per cell]  8 Co 2.99, 4 Ba 3.16

Record 11
Below is crystalline BaCo2Au at its relaxed geometry, with properties calculated at the GGA-PBE level.

V (Å³ per atom): 22.70
Formation energy (eV/f.u.): 0.161
Magnetization (μB/atom): 0.648

Lattice parameters (Å, degrees): 4.2567 4.2567 17.3593 90.00 90.00 120.00
With the nearest neighbours (Å) after each atom.
Space group R3m (No. 160, hexagonal axes)
Inequivalent atoms, fractional coordinates:
Ba (0.0000, 0.0000, 0.0000) [3 per cell]  7 Co 3.31-3.56, 4 Au 3.36-3.45
Co (0.0000, 0.0000, 0.4813) [3 per cell]  3 Co 2.46, 3 Au 2.58
Co (0.0000, 0.0000, 0.8093) [3 per cell]  3 Co 2.46, 3 Au 2.61
Au (0.0000, 0.0000, 0.1938) [3 per cell]  6 Co 2.58-2.61

Record 12
Below is crystalline Ba3CoAu at its relaxed geometry, with properties calculated at the GGA-PBE level.

V (Å³ per atom): 37.92
Formation energy (eV/f.u.): 0.509
Distance to the lowest polymorph of the same formula (kJ/mol of formula units): 0
Magnetization (μB/atom): 0.000

Lattice parameters (Å, degrees): 5.7447 5.7447 5.7447 90.00 90.00 90.00
With the nearest neighbours (Å) after each atom.
Space group Pm-3m (No. 221)
Inequivalent atoms, fractional coordinates:
Ba (0.0000, 0.0000, 0.5000) [3 per cell]  2 Co 2.87
Co (0.0000, 0.0000, 0.0000) [1 per cell]  6 Ba 2.87
Au (0.5000, 0.5000, 0.5000) [1 per cell]  12 Ba 4.06